(1)
ZrZn2Cr (PBEsol, optimized geometry); crystal system = cubic; ΔH_f (0 K) = 20 meV/atom; DOS at the Fermi energy = 2.864 states/eV/cell; relative energy among the computed polymorphs = 0.0 meV per atom; total DFT energy (no corrections) = -5.604 eV per atom
1.0
-0.265 -1.405 4.224
0.659 -4.304 0.964
3.689 -1.261 2.166
Zr Cr Zn
1 1 2
Direct
0.500 0.500 0.500
0.000 0.000 0.000
0.250 0.250 0.250
0.750 0.750 0.750

---

(2)
ZrZn2Cr (PBEsol, optimized geometry); crystal system = monoclinic; ΔH_f (0 K) = 107 meV/atom; DOS at the Fermi energy = 1.764 states/eV/cell; relative energy among the computed polymorphs = 87.2 meV per atom; total DFT energy (no corrections) = -5.517 eV per atom
1.0
-2.183 0.244 2.212
-2.902 -2.457 -2.592
3.607 -2.855 1.678
Zr Cr Zn
1 1 2
Direct
0.496 0.464 0.992
0.740 0.275 0.479
0.265 0.797 0.530
0.999 0.964 0.999

---

(3)
ZrZn2Cr (PBEsol, optimized geometry); crystal system = orthorhombic; ΔH_f (0 K) = 47 meV/atom; DOS at the Fermi energy = 2.543 states/eV/cell; relative energy among the computed polymorphs = 26.9 meV per atom; total DFT energy (no corrections) = -5.577 eV per atom
1.0
-2.542 -0.206 -0.897
0.882 -3.373 -1.724
-1.427 -2.768 4.684
Zn Zr Cr
2 1 1
Direct
0.000 0.000 0.718
0.000 0.000 0.282
0.500 0.500 0.000
0.500 0.500 0.500

---

(4)
ZrCr5 (PBEsol, optimized geometry); crystal system = hexagonal; ΔH_f (0 K) = 164 meV/atom; DOS at the Fermi energy = 3.883 states/eV/cell; total DFT energy (no corrections) = -9.886 eV per atom
1.0
3.898 0.000 0.000
0.000 4.885 0.000
0.000 -2.443 4.231
Cr Zr
5 1
Direct
0.500 0.667 0.333
0.500 0.333 0.667
0.000 0.500 0.500
0.000 0.500 0.000
0.000 0.000 0.500
0.500 0.000 0.000

---

(5)
Zr3Cr (PBEsol, optimized geometry); crystal system = cubic; ΔH_f (0 K) = 1202 meV/atom; DOS at the Fermi energy = 6.856 states/eV/cell; total DFT energy (no corrections) = -8.176 eV per atom
1.0
4.801 0.000 0.000
0.000 4.801 0.000
0.000 0.000 4.801
Cr Zr
1 3
Direct
0.000 0.000 0.000
0.500 0.000 0.000
0.000 0.000 0.500
0.000 0.500 0.000

---

(6)
ZrCr2 (PBEsol, optimized geometry); crystal system = orthorhombic; ΔH_f (0 K) = 334 meV/atom; DOS at the Fermi energy = 6.795 states/eV/cell; total DFT energy (no corrections) = -9.524 eV per atom
1.0
3.005 0.000 0.000
0.000 4.536 0.000
0.000 -2.268 6.347
Cr Zr
4 2
Direct
0.750 0.735 0.470
0.250 0.265 0.530
0.250 0.590 0.180
0.750 0.410 0.820
0.250 0.904 0.807
0.750 0.096 0.193